# 1
## Nd2GePPd6 (PBE)

Data for a relaxed Nd2GePPd6 crystal.

Computed properties:
For the energy of formation from the pure elements, the calculation gives -0.76 eV/atom. As for the density of states at the Fermi level: 0.359 states/eV/atom. The total magnetization comes out at 0.000 μB/cell.

Cell lengths 5.581, 8.742, 8.083 Å; angles 90.00, 90.00, 90.00 degrees
Atoms (fractional coordinates):
Nd (0.250, 0.008, 0.234)
Nd (0.250, 0.492, 0.234)
Nd (0.750, 0.508, 0.766)
Nd (0.750, 0.992, 0.766)
Ge (0.250, 0.750, 0.773)
Ge (0.750, 0.250, 0.227)
P (0.250, 0.250, 0.742)
P (0.750, 0.750, 0.258)
Pd (0.000, 0.250, 0.495)
Pd (0.000, 0.750, 0.505)
Pd (0.004, 0.250, 0.978)
Pd (0.250, 0.002, 0.620)
Pd (0.250, 0.498, 0.620)
Pd (0.496, 0.250, 0.978)
Pd (0.500, 0.250, 0.495)
Pd (0.500, 0.750, 0.505)
Pd (0.504, 0.750, 0.022)
Pd (0.750, 0.502, 0.380)
Pd (0.750, 0.998, 0.380)
Pd (0.996, 0.750, 0.022)

***

# 2
## Nd3GeP2Pt9 (PBE)

Data for a relaxed Nd3GeP2Pt9 crystal.

Computed properties:
For the energy of formation from the pure elements, the calculation gives -0.72 eV/atom. As for the density of states at the Fermi level: 0.385 states/eV/atom. The total magnetization comes out at 0.000 μB/cell.

Cell lengths 6.437, 6.437, 8.558 Å; angles 90.00, 90.00, 120.00 degrees
Atoms (fractional coordinates):
Nd (0.000, 0.000, 0.000)
Nd (0.333, 0.667, 0.669)
Nd (0.667, 0.333, 0.331)
Ge (0.000, 0.000, 0.500)
P (0.333, 0.667, 0.179)
P (0.667, 0.333, 0.821)
Pt (0.000, 0.500, 0.000)
Pt (0.149, 0.297, 0.285)
Pt (0.149, 0.851, 0.285)
Pt (0.297, 0.149, 0.715)
Pt (0.500, 0.000, 0.000)
Pt (0.500, 0.500, 0.000)
Pt (0.703, 0.851, 0.285)
Pt (0.851, 0.149, 0.715)
Pt (0.851, 0.703, 0.715)

***

# 3
## Nd2GePPt6 (PBE)

Data for a relaxed Nd2GePPt6 crystal.

Computed properties:
For the energy of formation from the pure elements, the calculation gives -0.91 eV/atom. As for the density of states at the Fermi level: 0.364 states/eV/atom. The total magnetization comes out at 0.000 μB/cell.

Cell lengths 5.588, 8.464, 8.397 Å; angles 90.00, 90.00, 90.00 degrees
Atoms (fractional coordinates):
Nd (0.250, 0.006, 0.232)
Nd (0.250, 0.494, 0.232)
Nd (0.750, 0.506, 0.768)
Nd (0.750, 0.994, 0.768)
Ge (0.250, 0.750, 0.777)
Ge (0.750, 0.250, 0.223)
P (0.250, 0.250, 0.754)
P (0.750, 0.750, 0.246)
Pt (0.000, 0.250, 0.491)
Pt (0.000, 0.750, 0.509)
Pt (0.002, 0.250, 0.981)
Pt (0.250, 0.005, 0.622)
Pt (0.250, 0.495, 0.622)
Pt (0.498, 0.250, 0.981)
Pt (0.500, 0.250, 0.491)
Pt (0.500, 0.750, 0.509)
Pt (0.502, 0.750, 0.019)
Pt (0.750, 0.505, 0.378)
Pt (0.750, 0.995, 0.378)
Pt (0.998, 0.750, 0.019)

***

# 4
## Nd2GeP3Pt4 (PBE)

Data for a relaxed Nd2GeP3Pt4 crystal.

Computed properties:
For the energy of formation from the pure elements, the calculation gives -0.95 eV/atom. As for the density of states at the Fermi level: 0.475 states/eV/atom. The total magnetization comes out at 0.000 μB/cell.

Cell lengths 4.288, 4.288, 9.914 Å; angles 90.00, 90.00, 90.00 degrees
Atoms (fractional coordinates):
Nd (0.000, 0.500, 0.247)
Nd (0.500, 0.000, 0.753)
Ge (0.000, 0.000, 0.500)
P (0.000, 0.500, 0.868)
P (0.500, 0.000, 0.132)
P (0.500, 0.500, 0.500)
Pt (0.000, 0.000, 0.000)
Pt (0.000, 0.500, 0.629)
Pt (0.500, 0.000, 0.371)
Pt (0.500, 0.500, 0.000)